No. 1
Computed, not measured: an optimized crystal structure of Cs2BaPtO6 at the GGA-PBE level of DFT.

Calculated values
Electronic total energy in eV per atom: -5.014
Size of the total moment in μB/atom: 0.41
SG: Fm-3m (225)

Cell: 6.5181 6.5181 6.5181 Å, 60.00 60.00 60.00°
Last column: nearest neighbours and their distance in Å.
Fractional positions:
Pt  0.0000  0.0000  0.0000  6 O 1.95
O  0.7884  0.2116  0.7884  1 Pt 1.95
O  0.2116  0.7884  0.7884  1 Pt 1.95
O  0.7884  0.2116  0.2116  1 Pt 1.95
O  0.2116  0.7884  0.2116  1 Pt 1.95
O  0.2116  0.2116  0.7884  1 Pt 1.95
O  0.7884  0.7884  0.2116  1 Pt 1.95
Ba  0.5000  0.5000  0.5000  6 O 2.66
Cs  0.7500  0.7500  0.7500  12 O 3.28
Cs  0.2500  0.2500  0.2500  12 O 3.28

***

No. 2
Computed, not measured: an optimized crystal structure of CsBaPtO3 at the GGA-PBE level of DFT.

Calculated values
Electronic total energy in eV per atom: -5.133
Size of the total moment in μB/atom: 0.17
SG: Cmcm (63)

Cell: 6.4217 6.1949 6.9023 Å, 116.66 90.00 90.00°
Last column: nearest neighbours and their distance in Å.
Fractional positions:
Ba  0.2500  0.4058  0.8117  5 O 2.43-2.67
Ba  0.7500  0.5942  0.1883  5 O 2.43-2.67
Pt  0.2500  0.0157  0.0314  4 O 2.08
Pt  0.7500  0.9843  0.9686  4 O 2.08
Cs  0.7500  0.2659  0.5318  4 O 3.11-3.29, 1 Pt 3.47
Cs  0.2500  0.7341  0.4682  4 O 3.11-3.29, 1 Pt 3.47
O  0.0000  0.2120  0.0000  2 Pt 2.08
O  0.0000  0.7880  0.0000  2 Pt 2.08
O  0.5000  0.2120  0.0000  2 Pt 2.08
O  0.5000  0.7880  0.0000  2 Pt 2.08
O  0.7500  0.7910  0.5821  1 Pt 2.38, 1 Ba 2.43
O  0.2500  0.2090  0.4179  1 Pt 2.38, 1 Ba 2.43